Entry 1:
First-principles (PBE) data for a relaxed BaSr2Ca7 crystal, as listed in the Alexandria database.

Cell: 3.8825 7.3396 17.0244 Å, 102.45 90.00 90.00°
Atoms (fractional coordinates):
Ba: 0.0000 0.0000 0.0000
Sr: 0.5000 0.2923 0.5846
Sr: 0.5000 0.7077 0.4154
Ca: 0.0000 0.1863 0.3727
Ca: 0.0000 0.8137 0.6273
Ca: 0.5000 0.3504 0.1999
Ca: 0.5000 0.6496 0.8001
Ca: 0.5000 0.1505 0.8001
Ca: 0.5000 0.8495 0.1999
Ca: 0.5000 0.5000 0.0000

ΔE_f   0.0926 eV per atom
Uncorrected energy   -1.837 eV per atom
Volume   47.37 Å³/atom

***

Entry 2:
First-principles (PBE) data for a relaxed Ba2Sr5Ca3 crystal, as listed in the Alexandria database.

Cell: 4.1294 14.0277 10.8722 Å, 59.37 79.05 81.54°
Atoms (fractional coordinates):
Ba: 0.3112 0.1024 0.2751
Ba: 0.6888 0.8976 0.7249
Sr: 0.0000 0.0000 0.0000
Sr: 0.1002 0.2206 0.5790
Sr: 0.8998 0.7794 0.4210
Sr: 0.7016 0.4053 0.1916
Sr: 0.2984 0.5947 0.8084
Ca: 0.5000 0.5000 0.5000
Ca: 0.0968 0.6778 0.1286
Ca: 0.9032 0.3222 0.8714

ΔE_f   0.0524 eV per atom
Uncorrected energy   -1.774 eV per atom
Volume   53.11 Å³/atom

***

Entry 3:
First-principles (PBE) data for a relaxed BaSr6Ca crystal, as listed in the Alexandria database.

Cell: 5.9827 7.3551 11.2722 Å, 77.53 74.61 66.00°
Atoms (fractional coordinates):
Ba: 0.0000 0.5000 0.5000
Sr: 0.2482 0.8721 0.6315
Sr: 0.5025 0.2361 0.7590
Sr: 0.2501 0.3800 0.1197
Sr: 0.4975 0.7639 0.2410
Sr: 0.7518 0.1279 0.3685
Sr: 0.7499 0.6200 0.8803
Ca: 0.0000 0.0000 0.0000

ΔE_f   0.0094 eV per atom
Uncorrected energy   -1.742 eV per atom
Volume   54.20 Å³/atom

***

Entry 4:
First-principles (PBE) data for a relaxed Ba2Sr6Ca3 crystal, as listed in the Alexandria database.

Cell: 4.2103 4.2103 37.7624 Å, 86.80 86.80 60.00°
Atoms (fractional coordinates):
Ba: 0.4525 0.4525 0.6424
Ba: 0.5475 0.5475 0.3576
Sr: 0.0871 0.0871 0.7386
Sr: 0.9129 0.9129 0.2614
Sr: 0.1821 0.1821 0.4537
Sr: 0.8179 0.8179 0.5463
Sr: 0.3624 0.3624 0.9128
Sr: 0.6376 0.6376 0.0872
Ca: 0.0000 0.0000 0.0000
Ca: 0.2752 0.2752 0.1745
Ca: 0.7248 0.7248 0.8255

ΔE_f   0.0262 eV per atom
Uncorrected energy   -1.787 eV per atom
Volume   52.59 Å³/atom